Sr2CuSbAu6 (PBE-GGA, optimized geometry); space-group type = P-1, No. 2; volume = 246.0 Å³/cell; formation energy without anion corrections = -0.422 eV per atom
1.0
-0.658 2.684 -6.549
-7.059 -1.477 1.116
-6.056 4.002 0.883
Sr Cu Sb Au
2 1 1 6
Cartesian
-5.486 3.709 -3.976 Sr
-8.287 1.501 -0.574 Sr
0.000 0.000 0.000 Cu
-3.859 0.604 -2.716 Sb
-5.128 2.336 -0.864 Au
-11.083 4.750 -4.391 Au
-5.652 -0.401 -0.764 Au
-8.121 5.610 -3.786 Au
-2.691 0.459 -0.159 Au
-8.645 2.874 -3.686 Au

Li2Y2ErSn2 (PBE-GGA, optimized geometry); DFT formation energy = -43.8 kJ/mol of atoms; space-group type = R-3m, No. 166; volume = 173.7 Å³/cell
1.0
-3.980 -0.754 -2.502
-3.861 -1.777 2.147
-5.346 7.357 1.758
Li Y Er Sn
2 2 1 2
Cartesian
-5.759 -0.091 0.128 Li
-7.428 4.917 1.274 Li
-4.296 4.206 1.037 Y
-8.891 0.620 0.365 Y
0.000 0.000 0.000 Er
-10.011 3.983 1.135 Sn
-3.176 0.843 0.267 Sn

NiP2Cl (PBE-GGA, optimized geometry); relative energy among the computed polymorphs = 0.07 eV/f.u.; space-group type = Pm, No. 6; volume = 87.4 Å³/cell; formation energy without anion corrections = -0.196 eV per atom
1.0
3.233 0.000 0.000
0.000 4.051 -0.521
0.000 -0.441 6.733
Cl Ni P
1 1 2
Cartesian
0.000 2.161 3.681 Cl
1.617 2.410 5.255 Ni
0.000 3.934 0.165 P
1.617 0.520 6.428 P

ErTePb2O6 (PBE-GGA, optimized geometry); space-group type = P2_1/c, No. 14; volume = 301.0 Å³/cell; formation energy without anion corrections = -1.654 eV per atom
1.0
-3.134 2.263 -4.497
4.359 -1.562 -3.824
-3.723 -7.494 -1.183
Er Te Pb O
2 2 4 12
Cartesian
-1.567 1.131 -2.248 Er
0.318 -4.528 -2.503 Er
-3.429 -2.616 -2.840 Te
2.180 -0.781 -1.912 Te
3.287 -3.366 -4.034 Pb
-2.066 -5.292 -5.185 Pb
-5.785 -3.428 -5.470 Pb
-0.432 -1.502 -4.318 Pb
2.019 -0.762 -3.994 O
-0.978 -3.533 -7.212 O
-4.517 -6.031 -5.509 O
-1.519 -3.261 -2.291 O
0.465 -3.878 -4.652 O
-2.679 -6.595 -7.741 O
-2.963 -2.916 -4.852 O
0.181 -0.199 -1.763 O
-1.515 -0.532 -6.409 O
0.201 -6.131 -6.515 O
-0.983 -6.261 -3.095 O
-2.698 -0.663 -2.989 O

BaMg2Tl (PBE-GGA, optimized geometry); relative energy among the computed polymorphs = 0.23 eV/f.u.; DFT formation energy = -12.4 kJ/mol of atoms; space-group type = Cm, No. 8; volume = 136.5 Å³/cell
1.0
-2.549 3.886 -2.049
-4.659 1.136 1.672
-0.011 5.455 4.026
Mg Tl Ba
2 1 1
Cartesian
-0.321 4.963 3.486 Mg
-5.437 7.819 2.694 Mg
-3.309 5.714 2.346 Tl
-1.772 2.676 0.972 Ba

ZnCrRu2 (PBE-GGA, optimized geometry); DFT formation energy = 44.8 kJ/mol of atoms; space-group type = I-42d, No. 122; volume = 120.2 Å³/cell
1.0
-3.245 5.522 -2.148
-3.910 -3.836 -3.955
-5.313 0.587 -1.087
Ru Zn Cr
4 2 2
Cartesian
-3.688 2.851 -2.005 Ru
-4.335 -1.293 -3.116 Ru
-6.857 0.887 -3.295 Ru
-10.056 2.102 -5.964 Ru
0.000 0.000 0.000 Zn
-6.068 3.477 -3.143 Zn
-3.578 0.843 -3.051 Cr
-6.400 -1.203 -4.047 Cr

Pr6DyZn2 (PBE-GGA, optimized geometry); DFT formation energy = -12.6 kJ/mol of atoms; space-group type = C2/m, No. 12; volume = 278.3 Å³/cell
1.0
3.705 0.000 0.588
1.634 6.308 1.672
0.015 -0.184 11.870
Pr Dy Zn
6 1 2
Cartesian
3.368 3.127 2.712 Pr
1.985 2.997 11.419 Pr
2.444 4.834 8.531 Pr
4.799 4.561 5.657 Pr
0.554 1.563 8.474 Pr
2.909 1.290 5.600 Pr
0.000 0.000 0.000 Dy
1.480 0.558 2.640 Zn
3.873 5.566 11.491 Zn

PmPd4Au4 (PBE-GGA, optimized geometry); DFT formation energy = -37.7 kJ/mol of atoms; space-group type = I4/mmm, No. 139; volume = 322.0 Å³/cell
1.0
4.074 0.000 0.000
0.000 8.890 0.000
0.000 0.000 8.890
Pm Pd Au
2 8 8
Cartesian
0.000 0.000 0.000 Pm
2.037 4.445 4.445 Pm
2.037 7.377 1.512 Pd
2.037 1.512 7.377 Pd
4.074 5.957 5.957 Pd
0.000 2.933 5.957 Pd
0.000 5.957 2.933 Pd
2.037 1.512 1.512 Pd
2.037 7.377 7.377 Pd
4.074 2.933 2.933 Pd
2.036 4.444 7.416 Au
4.073 5.919 8.889 Au
2.036 4.445 1.474 Au
0.001 0.000 5.919 Au
2.039 7.416 4.445 Au
0.001 8.889 2.971 Au
4.073 2.971 0.000 Au
2.039 1.474 4.444 Au

KPb2Se (PBE-GGA, optimized geometry); space-group type = Cmmm, No. 65; volume = 137.5 Å³/cell; formation energy without anion corrections = -0.056 eV per atom
1.0
3.805 0.015 0.000
-1.495 3.499 0.000
0.000 0.000 10.313
K Pb Se
1 2 1
Cartesian
1.155 1.757 7.735 K
0.000 0.000 0.537 Pb
0.000 0.000 4.619 Pb
1.155 1.757 2.578 Se

Rb3ReNi (PBE-GGA, optimized geometry); DFT formation energy = 167.0 kJ/mol of atoms; space-group type = Pm-3m, No. 221; volume = 243.1 Å³/cell
1.0
6.242 0.000 0.000
0.000 6.242 0.000
0.000 0.000 6.242
Re Rb Ni
1 3 1
Cartesian
3.121 3.121 3.121 Re
0.000 3.121 0.000 Rb
0.000 0.000 3.121 Rb
3.121 0.000 0.000 Rb
0.000 0.000 0.000 Ni

Hf2GaP2 (PBE-GGA, optimized geometry); DFT formation energy = -67.2 kJ/mol of atoms; space-group type = P4/mbm, No. 127; volume = 173.3 Å³/cell
1.0
-0.360 -7.038 1.113
5.006 0.543 5.055
-2.420 0.494 2.343
P Hf Ga
4 4 2
Cartesian
4.172 -2.062 4.744 P
2.898 -5.700 4.195 P
0.473 -4.433 1.424 P
1.748 -0.795 1.973 P
2.007 -0.479 4.646 Hf
2.792 -3.893 6.177 Hf
0.220 -5.522 3.865 Hf
-0.566 -2.108 2.333 Hf
0.000 0.000 0.000 Ga
2.323 -3.248 3.084 Ga

AcSiO4 (PBE-GGA, optimized geometry); relative energy among the computed polymorphs = 0.99 eV/f.u.; space-group type = P4_2/nmc, No. 137; volume = 171.1 Å³/cell; formation energy without anion corrections = -2.620 eV per atom
1.0
5.089 0.000 0.000
0.000 5.089 0.000
0.000 0.000 6.607
Ac Si O
2 2 8
Cartesian
0.000 0.000 3.304 Ac
2.544 2.544 0.000 Ac
0.000 0.000 0.000 Si
2.544 2.544 3.304 Si
1.294 0.000 0.996 O
3.795 0.000 0.996 O
0.000 3.795 5.612 O
0.000 1.294 5.612 O
2.544 1.250 4.299 O
3.838 2.544 2.308 O
1.250 2.544 2.308 O
2.544 3.838 4.299 O

HoMg2Pb (PBE-GGA, optimized geometry); relative energy among the computed polymorphs = 0.00 eV/f.u.; DFT formation energy = -28.0 kJ/mol of atoms; space-group type = P4/mmm, No. 123; volume = 99.3 Å³/cell
1.0
4.796 0.000 0.000
0.000 4.550 0.000
0.000 0.000 4.550
Pb Mg Ho
1 2 1
Cartesian
2.398 0.000 0.000 Pb
0.000 0.000 2.275 Mg
0.000 2.275 0.000 Mg
2.398 2.275 2.275 Ho

Ta2TiAl3 (PBE-GGA, optimized geometry); DFT formation energy = -8.8 kJ/mol of atoms; space-group type = Cmcm, No. 63; volume = 200.7 Å³/cell
1.0
5.668 0.000 0.000
0.000 7.449 -1.889
0.000 -4.828 5.978
Ta Ti Al
4 2 6
Cartesian
4.079 -0.707 3.330 Ta
1.245 -0.701 3.340 Ta
1.245 3.327 0.759 Ta
4.079 3.321 0.749 Ta
4.078 2.620 4.088 Ti
1.245 0.001 0.001 Ti
2.662 -2.751 4.647 Al
5.496 -2.751 4.647 Al
2.662 1.310 2.045 Al
5.496 1.310 2.044 Al
5.496 5.371 -0.558 Al
2.662 5.371 -0.558 Al

DyHo2Er (PBE-GGA, optimized geometry); relative energy among the computed polymorphs = 0.00 eV/f.u.; DFT formation energy = 0.2 kJ/mol of atoms; space-group type = Ama2, No. 40; volume = 499.2 Å³/cell
1.0
-7.075 1.346 -0.061
-0.343 -2.035 -5.173
-2.199 -11.348 4.610
Dy Ho Er
4 8 4
Cartesian
-1.614 -6.168 -1.964 Dy
-5.348 -6.374 1.363 Dy
-6.251 -11.169 0.311 Dy
-0.711 -1.373 -0.912 Dy
-4.127 -9.545 2.530 Ho
-6.370 -2.325 -3.162 Ho
-6.565 -3.198 0.193 Ho
-3.932 -8.671 -0.825 Ho
-4.250 -0.702 -0.942 Ho
-2.714 -11.839 0.340 Ho
-1.812 -7.049 1.395 Ho
-5.152 -5.492 -1.996 Ho
-7.473 -7.998 -0.856 Er
-3.031 -3.871 0.224 Er
-2.836 -2.997 -3.131 Er
-7.668 -8.871 2.499 Er

KSrHg4 (PBE-GGA, optimized geometry); relative energy among the computed polymorphs = 0.60 eV/f.u.; DFT formation energy = -24.6 kJ/mol of atoms; space-group type = F-43m, No. 216; volume = 178.3 Å³/cell
1.0
0.000 4.467 4.467
4.467 0.000 4.467
4.467 4.467 0.000
K Sr Hg
1 1 4
Cartesian
6.700 6.700 6.700 K
0.000 0.000 0.000 Sr
3.352 5.581 5.581 Hg
5.581 5.581 3.352 Hg
5.581 3.352 5.581 Hg
3.352 3.352 3.352 Hg

Ta4TiW (PBE-GGA, optimized geometry); relative energy among the computed polymorphs = 5.03 eV/f.u.; DFT formation energy = 80.0 kJ/mol of atoms; space-group type = P4/mmm, No. 123; volume = 122.6 Å³/cell
1.0
4.470 0.000 -0.002
0.000 4.470 -0.003
0.002 0.004 6.135
Ta Ti W
4 1 1
Cartesian
2.241 4.459 1.508 Ta
2.242 4.461 4.596 Ta
0.008 2.226 4.599 Ta
0.006 2.224 1.511 Ta
2.243 2.227 6.121 Ti
0.007 4.460 3.053 W